! SrVO3 | Alexandria via LeMat-Bulk | GGA+U | optimized geometry; values from VASP
&SYSTEM
  ibrav = 0, nat = 10, ntyp = 3
/
ATOMIC_SPECIES
Sr 87.62 Sr.upf
V 50.94 V.upf
O 16.00 O.upf
CELL_PARAMETERS angstrom
2.961 1.709 5.792
-2.961 1.709 5.792
0.000 -3.419 5.792
ATOMIC_POSITIONS crystal
Sr 0.000 0.000 0.000
Sr 0.500 0.500 0.500
V 0.250 0.250 0.250
V 0.750 0.750 0.750
O 0.045 0.750 0.455
O 0.250 0.545 0.955
O 0.455 0.045 0.750
O 0.545 0.955 0.250
O 0.750 0.455 0.045
O 0.955 0.250 0.545
! Total DFT energy (no corrections): -70.61 eV for the cell shown
! Magnetic moment: 1.0 μB/f.u.
! Density of states at the Fermi level: 0.00 states/eV/atom
! Mass density: 3.52 g/cm3